MgTcRh | PBE | relaxed

```
MgTcRh
1.0
2.892 0.000 0.000
-1.439 4.921 0.000
-0.005 -2.253 6.615
Mg Tc Rh
2 2 2
direct
0.000 0.000 0.000 Mg
0.343 0.689 0.250 Mg
0.292 0.584 0.655 Tc
0.701 0.404 0.881 Tc
0.005 0.012 0.595 Rh
0.641 0.282 0.342 Rh
```

Computed properties:
ΔE_f   -0.32 kcal/mol of atoms
Volume   47 Å³/f.u.
Magnetization   0.00 μB per cell
Total energy   -38.71 eV per cell
Energy above the lowest structure with this stoichiometry   0.159 eV/atom

---

MgTcRh | PBE | relaxed

```
MgTcRh
1.0
2.803 0.000 0.000
-1.401 2.427 0.000
0.000 0.000 6.801
Mg Tc Rh
1 1 1
direct
0.000 0.000 0.000 Mg
0.333 0.667 0.645 Tc
0.667 0.333 0.338 Rh
```

Computed properties:
ΔE_f   0.71 kcal/mol of atoms
Volume   46 Å³/f.u.
Magnetization   0.00 μB per cell
Total energy   -19.22 eV per cell
Energy above the lowest structure with this stoichiometry   0.204 eV/atom

---

MgTcRh | PBE | relaxed

```
MgTcRh
1.0
2.022 -5.647 0.000
2.022 5.647 0.000
0.000 0.000 4.106
Mg Tc Rh
2 2 2
direct
0.000 0.000 0.000 Mg
0.500 0.500 0.500 Mg
0.186 0.814 0.500 Tc
0.814 0.186 0.500 Tc
0.329 0.671 0.000 Rh
0.671 0.329 0.000 Rh
```

Computed properties:
ΔE_f   -2.63 kcal/mol of atoms
Volume   47 Å³/f.u.
Magnetization   0.00 μB per cell
Total energy   -39.31 eV per cell
Energy above the lowest structure with this stoichiometry   0.059 eV/atom

---

Mg2TcRh | PBE | relaxed

```
Mg2TcRh
1.0
-3.582 3.582 2.654
3.582 -3.582 2.654
3.582 3.582 -2.654
Mg Tc Rh
4 2 2
direct
0.110 0.625 0.985 Mg
0.375 0.360 0.485 Mg
0.640 0.125 0.015 Mg
0.875 0.890 0.515 Mg
0.250 0.750 0.500 Tc
0.500 0.500 0.000 Tc
0.000 0.000 0.000 Rh
0.750 0.250 0.500 Rh
```

Computed properties:
ΔE_f   10.80 kcal/mol of atoms
Volume   68 Å³/f.u.
Magnetization   1.74 μB per cell
Total energy   -38.07 eV per cell
Energy above the lowest structure with this stoichiometry   0.569 eV/atom

---

MgTc2Rh | PBE | relaxed

```
MgTc2Rh
1.0
1.385 0.800 9.157
-1.385 0.800 9.157
0.000 -1.599 9.157
Mg Tc Rh
1 2 1
direct
0.000 0.000 0.000 Mg
0.246 0.246 0.246 Tc
0.754 0.754 0.754 Tc
0.500 0.500 0.500 Rh
```

Computed properties:
ΔE_f   3.74 kcal/mol of atoms
Volume   61 Å³/f.u.
Magnetization   0.00 μB per cell
Total energy   -29.03 eV per cell

---

Mg2TcRh | PBE | relaxed

```
Mg2TcRh
1.0
0.000 3.175 3.175
3.175 0.000 3.175
3.175 3.175 0.000
Mg Tc Rh
2 1 1
direct
0.000 0.000 0.000 Mg
0.250 0.250 0.250 Mg
0.500 0.500 0.500 Tc
0.750 0.750 0.750 Rh
```

Computed properties:
ΔE_f   0.88 kcal/mol of atoms
Volume   64 Å³/f.u.
Magnetization   1.99 μB per cell
Total energy   -20.75 eV per cell
Energy above the lowest structure with this stoichiometry   0.139 eV/atom

---

MgTcRh | PBE | relaxed

```
MgTcRh
1.0
6.761 -1.436 0.000
6.761 1.436 0.000
-0.279 0.000 4.798
Mg Tc Rh
2 2 2
direct
0.000 0.000 0.000 Mg
0.160 0.160 0.630 Mg
0.327 0.327 0.200 Tc
0.471 0.471 0.479 Tc
0.661 0.661 0.148 Rh
0.827 0.827 0.726 Rh
```

Computed properties:
ΔE_f   -1.73 kcal/mol of atoms
Volume   47 Å³/f.u.
Magnetization   0.00 μB per cell
Total energy   -39.07 eV per cell
Energy above the lowest structure with this stoichiometry   0.098 eV/atom

---

MgTc2Rh | PBE | relaxed

```
MgTc2Rh
1.0
-1.605 2.054 4.483
1.605 -2.054 4.483
1.605 2.054 -4.483
Mg Tc Rh
1 2 1
direct
0.000 0.000 0.000 Mg
0.249 0.749 0.500 Tc
0.751 0.251 0.500 Tc
0.500 0.500 0.000 Rh
```

Computed properties:
ΔE_f   -0.18 kcal/mol of atoms
Volume   59 Å³/f.u.
Magnetization   0.00 μB per cell
Total energy   -29.71 eV per cell

---

MgTcRh | PBE | relaxed

```
MgTcRh
1.0
4.835 0.000 0.000
-2.368 4.222 0.000
-1.151 -1.953 4.453
Mg Tc Rh
2 2 2
direct
0.073 0.425 0.250 Mg
0.927 0.575 0.750 Mg
0.269 0.232 0.750 Tc
0.731 0.768 0.250 Tc
0.404 0.096 0.250 Rh
0.596 0.904 0.750 Rh
```

Computed properties:
ΔE_f   -0.38 kcal/mol of atoms
Volume   45 Å³/f.u.
Magnetization   0.00 μB per cell
Total energy   -38.72 eV per cell
Energy above the lowest structure with this stoichiometry   0.157 eV/atom

---

MgTcRh2 | PBE | relaxed

```
MgTcRh2
1.0
4.586 0.000 0.000
0.000 4.586 0.000
0.000 0.000 2.821
Mg Tc Rh
1 1 2
direct
0.000 0.000 0.000 Mg
0.500 0.500 0.000 Tc
0.000 0.500 0.500 Rh
0.500 0.000 0.500 Rh
```

Computed properties:
ΔE_f   -2.09 kcal/mol of atoms
Volume   59 Å³/f.u.
Magnetization   0.01 μB per cell
Total energy   -27.03 eV per cell

---

MgTcRh2 | PBE | relaxed

```
MgTcRh2
1.0
-1.891 1.891 4.117
1.891 -1.891 4.117
1.891 1.891 -4.117
Mg Tc Rh
1 1 2
direct
0.000 0.000 0.000 Mg
0.750 0.250 0.500 Tc
0.250 0.750 0.500 Rh
0.500 0.500 0.000 Rh
```

Computed properties:
ΔE_f   -1.32 kcal/mol of atoms
Volume   59 Å³/f.u.
Magnetization   0.00 μB per cell
Total energy   -26.89 eV per cell

---

MgTcRh2 | PBE | relaxed

```
MgTcRh2
1.0
1.406 0.812 8.724
-1.406 0.812 8.724
0.000 -1.623 8.724
Mg Tc Rh
1 1 2
direct
0.000 0.000 0.000 Mg
0.500 0.500 0.500 Tc
0.248 0.248 0.248 Rh
0.752 0.752 0.752 Rh
```

Computed properties:
ΔE_f   -2.65 kcal/mol of atoms
Volume   60 Å³/f.u.
Magnetization   0.00 μB per cell
Total energy   -27.12 eV per cell